DFT (PBE) results for a relaxed structure of Si2B.

The structure in CIF format:
```
data_Si2B
_cell_length_a 4.6041
_cell_length_b 5.4816
_cell_length_c 6.8403
_cell_angle_alpha 90.00
_cell_angle_beta 97.98
_cell_angle_gamma 90.00
_symmetry_space_group_name_H-M 'C 1 2 1'
_symmetry_Int_Tables_number 5
loop_
_symmetry_equiv_pos_as_xyz
'x,y,z'
'-x,y,-z'
'x+1/2,y+1/2,z'
'-x+1/2,y+1/2,-z'
loop_
_atom_site_label
_atom_site_fract_x
_atom_site_fract_y
_atom_site_fract_z
Si1 0.0000 0.0000 0.0000
Si2 0.0000 0.1745 0.5000
Si3 0.1839 0.4387 0.2818
B1 0.1110 0.6629 0.8895
```

Values from the calculation:
DOS(E_F)   0.0654 states/eV/atom
Excess energy over the best structure of this formula in the dataset   34 meV per atom
Formation energy from raw total energies   0.22 eV/atom